No. 1
12
Lattice="11.625 0.000 0.000 0.000 3.042 0.000 -0.506 0.000 5.211" Properties=species:S:1:pos:R:3 comment="NaAlO | the Alexandria database | PBE | relaxed" relative_energy_ev_per_atom=0.015 formation_energy_uncorrected_mev_per_atom=-1457 pbc="T T T"
Na 0.000 0.000 0.000
Na 1.828 1.521 2.934
Na 5.813 1.521 0.000
Na 7.641 0.000 2.934
Al 3.126 0.000 0.355
Al 4.639 0.000 2.586
Al 8.938 1.521 0.355
Al 10.451 1.521 2.586
O -0.147 0.000 2.776
O 3.537 0.000 4.002
O 5.666 1.521 2.776
O 9.350 1.521 4.002

***

No. 2
20
Lattice="-4.048 4.048 4.048 4.048 -4.048 4.048 4.048 4.048 -4.048" Properties=species:S:1:pos:R:3 comment="LaTl4Cu3O12 | the Alexandria database | PBE | relaxed" formation_energy_uncorrected_mev_per_atom=-828 pbc="T T T"
La 0.000 0.000 0.000
Tl 2.024 2.024 -2.024
Tl 2.024 -2.024 2.024
Tl -2.024 2.024 2.024
Tl 2.024 2.024 2.024
Cu 4.048 0.000 0.000
Cu 0.000 4.048 0.000
Cu 0.000 0.000 4.048
O 2.589 1.210 0.000
O 5.507 1.210 0.000
O 4.048 -1.459 2.837
O 2.837 4.048 -1.459
O 1.210 0.000 2.589
O 0.000 2.589 1.210
O 4.048 1.459 2.837
O 2.837 4.048 1.459
O 1.210 0.000 5.507
O 0.000 5.507 1.210
O -1.459 2.837 4.048
O 1.459 2.837 4.048

***

No. 3
5
Lattice="6.942 0.000 0.000 0.000 6.942 0.000 0.000 0.000 7.207" Properties=species:S:1:pos:R:3 comment="RbTeSI2 | the Alexandria database | PBE | relaxed" relative_energy_ev_per_atom=1.168 formation_energy_uncorrected_mev_per_atom=678 pbc="T T T"
Rb 0.000 0.000 0.000
Te 0.000 0.000 3.603
S 3.471 3.471 3.603
I 0.000 3.471 0.000
I 3.471 0.000 0.000

***

No. 4
13
Lattice="3.410 1.969 7.758 -3.410 1.969 7.758 0.000 -3.938 7.758" Properties=species:S:1:pos:R:3 comment="Ti4HgS8 | the Alexandria database | PBE | relaxed" relative_energy_ev_per_atom=0.000 formation_energy_uncorrected_mev_per_atom=-1172 pbc="T T T"
Ti 0.000 0.000 0.000
Ti -1.705 -0.984 7.758
Ti -1.705 0.984 15.515
Ti 0.000 1.969 7.758
Hg 0.000 0.000 11.636
S 0.000 -1.963 9.188
S -1.700 0.981 9.188
S 0.000 0.000 6.333
S -1.700 -0.981 14.084
S 1.700 0.981 9.188
S 0.000 0.000 16.939
S 1.700 -0.981 14.084
S 0.000 1.963 14.084